No. 1
# ZrOsW2 (PBE, optimized geometry)
data_ZrOsW2
_chemical_formula_sum 'Zr1 Os1 W2'
_cell_length_a 4.5462
_cell_length_b 4.5462
_cell_length_c 4.5462
_cell_angle_alpha 60.00
_cell_angle_beta 60.00
_cell_angle_gamma 60.00
_space_group_name_H-M_alt 'P 1'
_space_group_IT_number 1
loop_
_space_group_symop_operation_xyz
'x,y,z'
loop_
_atom_site_label
_atom_site_fract_x
_atom_site_fract_y
_atom_site_fract_z
_atom_site_occupancy
Os1 0.5000 0.5000 0.5000 1
Zr1 0.0000 0.0000 0.0000 1
W1 0.2500 0.2500 0.2500 1
W2 0.7500 0.7500 0.7500 1
# - Energy above the most stable polymorph in this dataset: 184 meV per atom
# - Formation enthalpy at 0 K: 120 meV per atom
# - Space group: No. 225



No. 2
# Zr2OsW (PBE, optimized geometry)
data_Zr2OsW
_chemical_formula_sum 'Zr2 Os1 W1'
_cell_length_a 5.6069
_cell_length_b 5.6069
_cell_length_c 5.6069
_cell_angle_alpha 146.11
_cell_angle_beta 131.07
_cell_angle_gamma 60.85
_space_group_name_H-M_alt 'P 1'
_space_group_IT_number 1
loop_
_space_group_symop_operation_xyz
'x,y,z'
loop_
_atom_site_label
_atom_site_fract_x
_atom_site_fract_y
_atom_site_fract_z
_atom_site_occupancy
Os1 0.4900 0.4900 0.0000 1
W1 0.2638 0.7638 0.5000 1
Zr1 0.0058 0.0058 0.0000 1
Zr2 0.7404 0.2404 0.5000 1
# - Formation enthalpy at 0 K: -150 meV per atom
# - Space group: No. 44



No. 3
# Zr2OsW (PBE, optimized geometry)
data_Zr2OsW
_chemical_formula_sum 'Zr4 Os2 W2'
_cell_length_a 7.5080
_cell_length_b 7.5080
_cell_length_c 5.9962
_cell_angle_alpha 51.24
_cell_angle_beta 51.24
_cell_angle_gamma 90.00
_space_group_name_H-M_alt 'P 1'
_space_group_IT_number 1
loop_
_space_group_symop_operation_xyz
'x,y,z'
loop_
_atom_site_label
_atom_site_fract_x
_atom_site_fract_y
_atom_site_fract_z
_atom_site_occupancy
Os1 0.0000 0.0000 0.0000 1
Os2 0.7500 0.2500 0.5000 1
Zr1 0.6442 0.1250 0.2500 1
Zr2 0.1058 0.6250 0.2500 1
Zr3 0.3750 0.3558 0.7500 1
Zr4 0.8750 0.8942 0.7500 1
W1 0.5000 0.5000 0.0000 1
W2 0.2500 0.7500 0.5000 1
# - Formation enthalpy at 0 K: 526 meV per atom
# - Space group: No. 122



No. 4
# ZrOs2W (PBE, optimized geometry)
data_ZrOs2W
_chemical_formula_sum 'Zr1 Os2 W1'
_cell_length_a 5.2221
_cell_length_b 5.3600
_cell_length_c 2.8181
_cell_angle_alpha 80.96
_cell_angle_beta 79.09
_cell_angle_gamma 118.09
_space_group_name_H-M_alt 'P 1'
_space_group_IT_number 1
loop_
_space_group_symop_operation_xyz
'x,y,z'
loop_
_atom_site_label
_atom_site_fract_x
_atom_site_fract_y
_atom_site_fract_z
_atom_site_occupancy
Os1 0.0000 0.0000 0.0000 1
Os2 0.0000 0.5000 0.5000 1
W1 0.5000 0.5000 0.0000 1
Zr1 0.5000 0.0000 0.5000 1
# - Formation enthalpy at 0 K: 143 meV per atom
# - Space group: No. 12



No. 5
# ZrOsW2 (PBE, optimized geometry)
data_ZrOsW2
_chemical_formula_sum 'Zr1 Os1 W2'
_cell_length_a 4.5049
_cell_length_b 2.8413
_cell_length_c 5.3384
_cell_angle_alpha 79.83
_cell_angle_beta 90.00
_cell_angle_gamma 90.00
_space_group_name_H-M_alt 'P 1'
_space_group_IT_number 1
loop_
_space_group_symop_operation_xyz
'x,y,z'
loop_
_atom_site_label
_atom_site_fract_x
_atom_site_fract_y
_atom_site_fract_z
_atom_site_occupancy
Os1 0.5000 0.7527 0.7521 1
W1 0.0000 0.0115 0.0056 1
W2 0.5000 0.2366 0.2368 1
Zr1 0.0000 0.4992 0.5055 1
# - Energy above the most stable polymorph in this dataset: 121 meV per atom
# - Formation enthalpy at 0 K: 57 meV per atom
# - Space group: No. 6



No. 6
# Zr2OsW (PBE, optimized geometry)
data_Zr2OsW
_chemical_formula_sum 'Zr2 Os1 W1'
_cell_length_a 2.9284
_cell_length_b 2.9284
_cell_length_c 9.0376
_cell_angle_alpha 90.00
_cell_angle_beta 90.00
_cell_angle_gamma 110.15
_space_group_name_H-M_alt 'P 1'
_space_group_IT_number 1
loop_
_space_group_symop_operation_xyz
'x,y,z'
loop_
_atom_site_label
_atom_site_fract_x
_atom_site_fract_y
_atom_site_fract_z
_atom_site_occupancy
Os1 0.5000 0.5000 0.2500 1
W1 0.5000 0.5000 0.7500 1
Zr1 0.0000 0.0000 0.0089 1
Zr2 0.0000 0.0000 0.4911 1
# - Formation enthalpy at 0 K: 53 meV per atom
# - Space group: No. 65



No. 7
# ZrOsW2 (PBE, optimized geometry)
data_ZrOsW2
_chemical_formula_sum 'Zr1 Os1 W2'
_cell_length_a 5.3261
_cell_length_b 5.3261
_cell_length_c 2.8448
_cell_angle_alpha 80.08
_cell_angle_beta 80.08
_cell_angle_gamma 118.09
_space_group_name_H-M_alt 'P 1'
_space_group_IT_number 1
loop_
_space_group_symop_operation_xyz
'x,y,z'
loop_
_atom_site_label
_atom_site_fract_x
_atom_site_fract_y
_atom_site_fract_z
_atom_site_occupancy
Os1 0.0000 0.5000 0.5000 1
W1 0.0000 0.0000 0.0000 1
W2 0.5000 0.5000 0.0000 1
Zr1 0.5000 0.0000 0.5000 1
# - Energy above the most stable polymorph in this dataset: 123 meV per atom
# - Formation enthalpy at 0 K: 59 meV per atom
# - Space group: No. 12



No. 8
# ZrOs4W (PBE, optimized geometry)
data_ZrOs4W
_chemical_formula_sum 'Zr1 Os4 W1'
_cell_length_a 5.1713
_cell_length_b 5.1713
_cell_length_c 5.1713
_cell_angle_alpha 60.00
_cell_angle_beta 60.00
_cell_angle_gamma 60.00
_space_group_name_H-M_alt 'P 1'
_space_group_IT_number 1
loop_
_space_group_symop_operation_xyz
'x,y,z'
loop_
_atom_site_label
_atom_site_fract_x
_atom_site_fract_y
_atom_site_fract_z
_atom_site_occupancy
Zr1 0.0000 0.0000 0.0000 1
Os1 0.8749 0.3750 0.3750 1
Os2 0.3750 0.3750 0.8749 1
Os3 0.3750 0.8749 0.3750 1
Os4 0.3750 0.3750 0.3750 1
W1 0.7500 0.7500 0.7500 1
# - Formation enthalpy at 0 K: 94 meV per atom
# - Space group: No. 216



No. 9
# ZrOs2W (PBE, optimized geometry)
data_ZrOs2W
_chemical_formula_sum 'Zr1 Os2 W1'
_cell_length_a 5.3867
_cell_length_b 5.3867
_cell_length_c 5.3867
_cell_angle_alpha 145.67
_cell_angle_beta 130.53
_cell_angle_gamma 61.59
_space_group_name_H-M_alt 'P 1'
_space_group_IT_number 1
loop_
_space_group_symop_operation_xyz
'x,y,z'
loop_
_atom_site_label
_atom_site_fract_x
_atom_site_fract_y
_atom_site_fract_z
_atom_site_occupancy
Os1 0.0035 0.0035 0.0000 1
Os2 0.7362 0.2362 0.5000 1
W1 0.5067 0.5067 0.0000 1
Zr1 0.2537 0.7537 0.5000 1
# - Formation enthalpy at 0 K: 76 meV per atom
# - Space group: No. 44



No. 10
# Zr2OsW (PBE, optimized geometry)
data_Zr2OsW
_chemical_formula_sum 'Zr2 Os1 W1'
_cell_length_a 3.0647
_cell_length_b 3.0647
_cell_length_c 8.2034
_cell_angle_alpha 90.00
_cell_angle_beta 90.00
_cell_angle_gamma 90.00
_space_group_name_H-M_alt 'P 1'
_space_group_IT_number 1
loop_
_space_group_symop_operation_xyz
'x,y,z'
loop_
_atom_site_label
_atom_site_fract_x
_atom_site_fract_y
_atom_site_fract_z
_atom_site_occupancy
Os1 0.0000 0.0000 0.5313 1
W1 0.5000 0.5000 0.7146 1
Zr1 0.0000 0.0000 0.9649 1
Zr2 0.5000 0.5000 0.2892 1
# - Formation enthalpy at 0 K: -41 meV per atom
# - Space group: No. 99



No. 11
# ZrOs2W (PBE, optimized geometry)
data_ZrOs2W
_chemical_formula_sum 'Zr1 Os2 W1'
_cell_length_a 4.3280
_cell_length_b 2.8394
_cell_length_c 5.5591
_cell_angle_alpha 76.71
_cell_angle_beta 90.00
_cell_angle_gamma 90.00
_space_group_name_H-M_alt 'P 1'
_space_group_IT_number 1
loop_
_space_group_symop_operation_xyz
'x,y,z'
loop_
_atom_site_label
_atom_site_fract_x
_atom_site_fract_y
_atom_site_fract_z
_atom_site_occupancy
Os1 0.0000 0.0656 0.0250 1
Os2 0.0000 0.4344 0.4750 1
W1 0.5000 0.2500 0.2500 1
Zr1 0.5000 0.7500 0.7500 1
# - Formation enthalpy at 0 K: 64 meV per atom
# - Space group: No. 10



No. 12
# ZrOs2W (PBE, optimized geometry)
data_ZrOs2W
_chemical_formula_sum 'Zr1 Os2 W1'
_cell_length_a 4.6696
_cell_length_b 4.6696
_cell_length_c 3.0406
_cell_angle_alpha 90.00
_cell_angle_beta 90.00
_cell_angle_gamma 96.38
_space_group_name_H-M_alt 'P 1'
_space_group_IT_number 1
loop_
_space_group_symop_operation_xyz
'x,y,z'
loop_
_atom_site_label
_atom_site_fract_x
_atom_site_fract_y
_atom_site_fract_z
_atom_site_occupancy
Os1 0.0000 0.0000 0.0000 1
Os2 0.5000 0.5000 0.0000 1
W1 0.5000 0.0000 0.5000 1
Zr1 0.0000 0.5000 0.5000 1
# - Formation enthalpy at 0 K: -26 meV per atom
# - Space group: No. 65



| no. | magnetic moment (μB/f.u.) | DFT total energy (eV/cell) |
| --- | --- | --- |
| 1 | 0.00 | -45.21 |
| 2 | 0.00 | -41.88 |
| 3 | 0.00 | -78.35 |
| 4 | 0.00 | -43.39 |
| 5 | 0.00 | -45.46 |
| 6 | 0.00 | -41.07 |
| 7 | 0.00 | -45.45 |
| 8 | 0.00 | -65.85 |
| 9 | 0.00 | -43.66 |
| 10 | 0.00 | -41.44 |
| 11 | 0.00 | -43.70 |
| 12 | 0.00 | -44.06 |